<i>
A plane-wave DFT calculation with GGA-PBE was carried out for PuIrPt after structural relaxation.

a = 3.5745 Å, b = 3.5745 Å, c = 5.0962 Å
α = 110.53°, β = 110.53°, γ = 90.00°
Last column: magnetic moment on the atom in μB.
Element x y z (fractional)
Pu (0.9443, 0.9443, 0.8887)  4.59
Pt (0.6171, 0.6171, 0.2342)  -0.17
Ir (0.2886, 0.2886, 0.5772)  -0.49

Calculated values
The density of states at the Fermi level is 2.886 states/eV per atom.

---

<ii>
A plane-wave DFT calculation with GGA-PBE was carried out for PuIrPt after structural relaxation.

a = 5.4214 Å, b = 5.4046 Å, c = 5.4046 Å
α = 59.55°, β = 59.90°, γ = 59.90°
Last column: magnetic moment on the atom in μB.
Element x y z (fractional)
Pt (0.5000, 0.5000, 0.0000)  -0.07
Pt (0.5000, 0.0000, 0.5000)  -0.07
Ir (0.5000, 0.0000, 0.0000)  -0.23
Ir (0.0000, 0.0000, 0.0000)  -0.23
Pu (0.8775, 0.3725, 0.3725)  5.17
Pu (0.1225, 0.6275, 0.6275)  5.17

Calculated values
The density of states at the Fermi level is 3.009 states/eV per atom.

---

Which is the most stable structure? <ii> is the most stable.

---

<i>
A plane-wave DFT calculation with GGA-PBE was carried out for Pu4IrPt after structural relaxation.

a = 4.8015 Å, b = 4.8015 Å, c = 6.8315 Å
α = 90.35°, β = 90.35°, γ = 90.00°
Last column: magnetic moment on the atom in μB.
Element x y z (fractional)
Pu (0.4998, 0.5013, 0.2555)  5.43
Pu (0.9987, 0.0002, 0.7445)  5.43
Pu (0.5002, 0.4987, 0.7445)  5.43
Pu (0.0013, 0.9998, 0.2555)  5.43
Pt (0.5000, 0.0000, 0.0000)  -0.10
Ir (0.0000, 0.5000, 0.5000)  -0.34

Calculated values
The density of states at the Fermi level is 3.822 states/eV per atom.

---

<ii>
A plane-wave DFT calculation with GGA-PBE was carried out for Pu4IrPt after structural relaxation.

a = 5.6232 Å, b = 2.9778 Å, c = 8.4922 Å
α = 90.78°, β = 89.60°, γ = 121.98°
Last column: magnetic moment on the atom in μB.
Element x y z (fractional)
Pt (0.5015, 0.4878, 0.9938)  -0.03
Pu (0.0014, 0.3739, 0.8405)  -5.12
Pu (0.5011, 0.8620, 0.3224)  -4.80
Pu (0.0013, 0.6192, 0.1754)  4.74
Pu (0.5013, 0.1317, 0.6541)  -5.21
Ir (0.0012, 0.0091, 0.5027)  0.10

Calculated values
The density of states at the Fermi level is 3.446 states/eV per atom.

---

Which is the most stable structure? <i> is the most stable.